1.
# Ca2GaH2 | the Alexandria database | GGA-PBEsol | relaxed
# DFT total energy = -32.96 eV for the cell shown
data_Ca2GaH2
_chemical_formula_sum 'Ca4 Ga2 H4'
_symmetry_space_group_name_H-M 'I 4/m m m'
_symmetry_Int_Tables_number 139
_symmetry_space_group_name_Hall '-I 4 2'
_cell_length_a 3.699
_cell_length_b 3.699
_cell_length_c 12.579
_cell_angle_alpha 90.00
_cell_angle_beta 90.00
_cell_angle_gamma 90.00
loop_
_atom_site_label
_atom_site_type_symbol
_atom_site_fract_x
_atom_site_fract_y
_atom_site_fract_z
Ca1 Ca 0.000 0.000 0.151
Ga1 Ga 0.000 0.000 0.500
H1 H 0.000 0.500 0.250


2.
# Ca3GaH | the Alexandria database | GGA-PBEsol | relaxed
# DFT total energy = -14.63 eV for the cell shown
data_Ca3GaH
_chemical_formula_sum 'Ca3 Ga1 H1'
_symmetry_space_group_name_H-M 'P m -3 m'
_symmetry_Int_Tables_number 221
_symmetry_space_group_name_Hall '-P 4 2 3'
_cell_length_a 4.817
_cell_length_b 4.817
_cell_length_c 4.817
_cell_angle_alpha 90.00
_cell_angle_beta 90.00
_cell_angle_gamma 90.00
loop_
_atom_site_label
_atom_site_type_symbol
_atom_site_fract_x
_atom_site_fract_y
_atom_site_fract_z
Ca1 Ca 0.000 0.000 0.500
Ga1 Ga 0.500 0.500 0.500
H1 H 0.000 0.000 0.000


3.
# CaGaSiH | the Alexandria database | GGA-PBEsol | relaxed
# DFT total energy = -16.21 eV for the cell shown
data_CaGaSiH
_chemical_formula_sum 'Ca1 Ga1 Si1 H1'
_symmetry_space_group_name_H-M 'P 3 m 1'
_symmetry_Int_Tables_number 156
_symmetry_space_group_name_Hall 'P 3 -2"'
_cell_length_a 4.0520
_cell_length_b 4.0520
_cell_length_c 4.6141
_cell_angle_alpha 90.00
_cell_angle_beta 90.00
_cell_angle_gamma 120.00
loop_
_atom_site_label
_atom_site_type_symbol
_atom_site_fract_x
_atom_site_fract_y
_atom_site_fract_z
Ca1 Ca 0.0000 0.0000 0.0000
Ga1 Ga 0.3333 0.6667 0.4411
Si1 Si 0.6667 0.3333 0.5623
H1 H 0.3333 0.6667 0.0625


4.
# CaGaSnH | the Alexandria database | GGA-PBEsol | relaxed
# DFT total energy = -14.71 eV for the cell shown
data_CaGaSnH
_chemical_formula_sum 'Ca1 Ga1 Sn1 H1'
_symmetry_space_group_name_H-M 'P 3 m 1'
_symmetry_Int_Tables_number 156
_symmetry_space_group_name_Hall 'P 3 -2"'
_cell_length_a 4.3229
_cell_length_b 4.3229
_cell_length_c 4.8031
_cell_angle_alpha 90.00
_cell_angle_beta 90.00
_cell_angle_gamma 120.00
loop_
_atom_site_label
_atom_site_type_symbol
_atom_site_fract_x
_atom_site_fract_y
_atom_site_fract_z
Ca1 Ca 0.0000 0.0000 0.0000
Ga1 Ga 0.3333 0.6667 0.3840
Sn1 Sn 0.6667 0.3333 0.5544
H1 H 0.3333 0.6667 0.0270


5.
# CaHfMgGa2 | the Alexandria database | GGA-PBEsol | relaxed
# DFT total energy = -17.60 eV for the cell shown
data_CaHfMgGa2
_chemical_formula_sum 'Ca1 Hf1 Mg1 Ga2'
_symmetry_space_group_name_H-M 'P 4/m m m'
_symmetry_Int_Tables_number 123
_symmetry_space_group_name_Hall '-P 4 2'
_cell_length_a 5.163
_cell_length_b 5.163
_cell_length_c 5.442
_cell_angle_alpha 90.00
_cell_angle_beta 90.00
_cell_angle_gamma 90.00
loop_
_atom_site_label
_atom_site_type_symbol
_atom_site_fract_x
_atom_site_fract_y
_atom_site_fract_z
Ca1 Ca 0.000 0.000 0.000
Hf1 Hf 0.000 0.000 0.500
Mg1 Mg 0.500 0.500 0.000
Ga1 Ga 0.000 0.500 0.500


6.
# CaGa3Hg | the Alexandria database | GGA-PBEsol | relaxed
# DFT total energy = -11.59 eV for the cell shown
data_CaGa3Hg
_chemical_formula_sum 'Ca1 Ga3 Hg1'
_symmetry_space_group_name_H-M 'P m -3 m'
_symmetry_Int_Tables_number 221
_symmetry_space_group_name_Hall '-P 4 2 3'
_cell_length_a 5.128
_cell_length_b 5.128
_cell_length_c 5.128
_cell_angle_alpha 90.00
_cell_angle_beta 90.00
_cell_angle_gamma 90.00
loop_
_atom_site_label
_atom_site_type_symbol
_atom_site_fract_x
_atom_site_fract_y
_atom_site_fract_z
Ca1 Ca 0.000 0.000 0.000
Ga1 Ga 0.000 0.500 0.500
Hg1 Hg 0.500 0.500 0.500


7.
# CaGa3I | the Alexandria database | GGA-PBEsol | relaxed
# Uncorrected formation energy = 0.46 eV/atom
data_CaGa3I
_chemical_formula_sum 'Ca1 Ga3 I1'
_symmetry_space_group_name_H-M 'P m -3 m'
_symmetry_Int_Tables_number 221
_symmetry_space_group_name_Hall '-P 4 2 3'
_cell_length_a 5.642
_cell_length_b 5.642
_cell_length_c 5.642
_cell_angle_alpha 90.00
_cell_angle_beta 90.00
_cell_angle_gamma 90.00
loop_
_atom_site_label
_atom_site_type_symbol
_atom_site_fract_x
_atom_site_fract_y
_atom_site_fract_z
Ca1 Ca 0.000 0.000 0.000
Ga1 Ga 0.000 0.500 0.500
I1 I 0.500 0.500 0.500


8.
# Ca2Ga2I | the Alexandria database | GGA-PBEsol | relaxed
# Uncorrected formation energy = -0.55 eV/atom
data_Ca2Ga2I
_chemical_formula_sum 'Ca4 Ga4 I2'
_symmetry_space_group_name_H-M 'I 4/m m m'
_symmetry_Int_Tables_number 139
_symmetry_space_group_name_Hall '-I 4 2'
_cell_length_a 3.912
_cell_length_b 3.912
_cell_length_c 17.496
_cell_angle_alpha 90.00
_cell_angle_beta 90.00
_cell_angle_gamma 90.00
loop_
_atom_site_label
_atom_site_type_symbol
_atom_site_fract_x
_atom_site_fract_y
_atom_site_fract_z
Ca1 Ca 0.000 0.000 0.116
Ga1 Ga 0.000 0.500 0.250
I1 I 0.000 0.000 0.500


9.
# Ca2GaMoI | the Alexandria database | GGA-PBEsol | relaxed
# Uncorrected formation energy = 1.03 eV/atom
data_Ca2GaMoI
_chemical_formula_sum 'Ca2 Ga1 Mo1 I1'
_symmetry_space_group_name_H-M 'P 4/m m m'
_symmetry_Int_Tables_number 123
_symmetry_space_group_name_Hall '-P 4 2'
_cell_length_a 5.672
_cell_length_b 5.672
_cell_length_c 5.589
_cell_angle_alpha 90.00
_cell_angle_beta 90.00
_cell_angle_gamma 90.00
loop_
_atom_site_label
_atom_site_type_symbol
_atom_site_fract_x
_atom_site_fract_y
_atom_site_fract_z
Ca1 Ca 0.000 0.500 0.000
Ga1 Ga 0.000 0.000 0.500
Mo1 Mo 0.500 0.500 0.500
I1 I 0.000 0.000 0.000


10.
# CaGaIN2 | the Alexandria database | GGA-PBEsol | relaxed
# Uncorrected formation energy = 0.49 eV/atom
data_CaGaIN2
_chemical_formula_sum 'Ca1 Ga1 I1 N2'
_symmetry_space_group_name_H-M 'P 4/m m m'
_symmetry_Int_Tables_number 123
_symmetry_space_group_name_Hall '-P 4 2'
_cell_length_a 4.037
_cell_length_b 4.037
_cell_length_c 5.632
_cell_angle_alpha 90.00
_cell_angle_beta 90.00
_cell_angle_gamma 90.00
loop_
_atom_site_label
_atom_site_type_symbol
_atom_site_fract_x
_atom_site_fract_y
_atom_site_fract_z
Ca1 Ca 0.000 0.000 0.000
Ga1 Ga 0.500 0.500 0.500
I1 I 0.500 0.500 0.000
N1 N 0.000 0.500 0.500


11.
# CaGaIO2 | the Alexandria database | GGA-PBEsol | relaxed
# Uncorrected formation energy = -1.06 eV/atom
data_CaGaIO2
_chemical_formula_sum 'Ca1 Ga1 I1 O2'
_symmetry_space_group_name_H-M 'P 4/m m m'
_symmetry_Int_Tables_number 123
_symmetry_space_group_name_Hall '-P 4 2'
_cell_length_a 4.064
_cell_length_b 4.064
_cell_length_c 5.290
_cell_angle_alpha 90.00
_cell_angle_beta 90.00
_cell_angle_gamma 90.00
loop_
_atom_site_label
_atom_site_type_symbol
_atom_site_fract_x
_atom_site_fract_y
_atom_site_fract_z
Ca1 Ca 0.000 0.000 0.000
Ga1 Ga 0.500 0.500 0.500
I1 I 0.500 0.500 0.000
O1 O 0.000 0.500 0.500


12.
# CaTaIn2Ga | the Alexandria database | GGA-PBEsol | relaxed
# DFT total energy = -15.83 eV for the cell shown
data_CaTaIn2Ga
_chemical_formula_sum 'Ca1 Ta1 In2 Ga1'
_symmetry_space_group_name_H-M 'P 4/m m m'
_symmetry_Int_Tables_number 123
_symmetry_space_group_name_Hall '-P 4 2'
_cell_length_a 5.490
_cell_length_b 5.490
_cell_length_c 4.945
_cell_angle_alpha 90.00
_cell_angle_beta 90.00
_cell_angle_gamma 90.00
loop_
_atom_site_label
_atom_site_type_symbol
_atom_site_fract_x
_atom_site_fract_y
_atom_site_fract_z
Ca1 Ca 0.000 0.000 0.000
Ta1 Ta 0.000 0.000 0.500
In1 In 0.000 0.500 0.000
Ga1 Ga 0.500 0.500 0.500


13.
# CaGa2Ir2 | the Alexandria database | GGA-PBEsol | relaxed
# DFT total energy = -61.94 eV for the cell shown
data_CaGa2Ir2
_chemical_formula_sum 'Ca2 Ga4 Ir4'
_symmetry_space_group_name_H-M 'P 4/m b m'
_symmetry_Int_Tables_number 127
_symmetry_space_group_name_Hall '-P 4 2ab'
_cell_length_a 7.449
_cell_length_b 7.449
_cell_length_c 2.896
_cell_angle_alpha 90.00
_cell_angle_beta 90.00
_cell_angle_gamma 90.00
loop_
_atom_site_label
_atom_site_type_symbol
_atom_site_fract_x
_atom_site_fract_y
_atom_site_fract_z
Ca1 Ca 0.000 0.000 0.000
Ga1 Ga 0.151 0.349 0.500
Ir1 Ir 0.143 0.643 0.000


14.
# CaGa2Ir2 | the Alexandria database | GGA-PBEsol | relaxed
# DFT total energy = -62.07 eV for the cell shown
data_CaGa2Ir2
_chemical_formula_sum 'Ca2 Ga4 Ir4'
_symmetry_space_group_name_H-M 'I 4/m m m'
_symmetry_Int_Tables_number 139
_symmetry_space_group_name_Hall '-I 4 2'
_cell_length_a 4.162
_cell_length_b 4.162
_cell_length_c 10.512
_cell_angle_alpha 90.00
_cell_angle_beta 90.00
_cell_angle_gamma 90.00
loop_
_atom_site_label
_atom_site_type_symbol
_atom_site_fract_x
_atom_site_fract_y
_atom_site_fract_z
Ca1 Ca 0.000 0.000 0.000
Ga1 Ga 0.000 0.500 0.250
Ir1 Ir 0.000 0.000 0.384


15.
# Ca2GaIr2 | the Alexandria database | GGA-PBEsol | relaxed
# DFT total energy = -58.98 eV for the cell shown
data_Ca2GaIr2
_chemical_formula_sum 'Ca4 Ga2 Ir4'
_symmetry_space_group_name_H-M 'P 4/m b m'
_symmetry_Int_Tables_number 127
_symmetry_space_group_name_Hall '-P 4 2ab'
_cell_length_a 6.539
_cell_length_b 6.539
_cell_length_c 4.588
_cell_angle_alpha 90.00
_cell_angle_beta 90.00
_cell_angle_gamma 90.00
loop_
_atom_site_label
_atom_site_type_symbol
_atom_site_fract_x
_atom_site_fract_y
_atom_site_fract_z
Ca1 Ca 0.173 0.327 0.000
Ga1 Ga 0.000 0.000 0.500
Ir1 Ir 0.136 0.636 0.500


16.
# CaLaGa3O7 | the Alexandria database | GGA-PBEsol | relaxed
# Uncorrected formation energy = -2.46 eV/atom
data_CaLaGa3O7
_chemical_formula_sum 'Ca4 La4 Ga12 O28'
_symmetry_space_group_name_H-M 'C m m 2'
_symmetry_Int_Tables_number 35
_symmetry_space_group_name_Hall 'C 2 -2'
_cell_length_a 11.103
_cell_length_b 11.317
_cell_length_c 5.248
_cell_angle_alpha 90.00
_cell_angle_beta 90.00
_cell_angle_gamma 90.00
loop_
_atom_site_label
_atom_site_type_symbol
_atom_site_fract_x
_atom_site_fract_y
_atom_site_fract_z
Ca1 Ca 0.159 0.000 0.000
La1 La 0.000 0.336 0.027
Ga1 Ga 0.000 0.141 0.484
Ga2 Ga 0.148 0.500 0.553
Ga3 Ga 0.250 0.250 0.530
O1 O 0.000 0.000 0.311
O2 O 0.000 0.140 0.827
O3 O 0.000 0.500 0.717
O4 O 0.124 0.219 0.315
O5 O 0.138 0.500 0.209
O6 O 0.214 0.376 0.738


17.
# CaLaGaO4 | the Alexandria database | GGA-PBEsol | relaxed
# Uncorrected formation energy = -2.84 eV/atom
data_CaLaGaO4
_chemical_formula_sum 'Ca4 La4 Ga4 O16'
_symmetry_space_group_name_H-M 'P n m a'
_symmetry_Int_Tables_number 62
_symmetry_space_group_name_Hall '-P 2ac 2n'
_cell_length_a 11.752
_cell_length_b 6.817
_cell_length_c 5.324
_cell_angle_alpha 90.00
_cell_angle_beta 90.00
_cell_angle_gamma 90.00
loop_
_atom_site_label
_atom_site_type_symbol
_atom_site_fract_x
_atom_site_fract_y
_atom_site_fract_z
Ca1 Ca 0.000 0.000 0.000
La1 La 0.220 0.250 0.489
Ga1 Ga 0.090 0.750 0.433
O1 O 0.053 0.250 0.726
O2 O 0.092 0.750 0.774
O3 O 0.162 0.538 0.269


18.
# Li2CaGa2 | the Alexandria database | GGA-PBEsol | relaxed
# DFT total energy = -28.34 eV for the cell shown
data_Li2CaGa2
_chemical_formula_sum 'Li4 Ca2 Ga4'
_symmetry_space_group_name_H-M 'I 4/m m m'
_symmetry_Int_Tables_number 139
_symmetry_space_group_name_Hall '-I 4 2'
_cell_length_a 3.970
_cell_length_b 3.970
_cell_length_c 12.768
_cell_angle_alpha 90.00
_cell_angle_beta 90.00
_cell_angle_gamma 90.00
loop_
_atom_site_label
_atom_site_type_symbol
_atom_site_fract_x
_atom_site_fract_y
_atom_site_fract_z
Li1 Li 0.000 0.500 0.250
Ca1 Ca 0.000 0.000 0.000
Ga1 Ga 0.000 0.000 0.398


19.
# Ca3MgGa | the Alexandria database | GGA-PBEsol | relaxed
# DFT total energy = -9.03 eV for the cell shown
data_Ca3MgGa
_chemical_formula_sum 'Ca3 Mg1 Ga1'
_symmetry_space_group_name_H-M 'P m -3 m'
_symmetry_Int_Tables_number 221
_symmetry_space_group_name_Hall '-P 4 2 3'
_cell_length_a 5.857
_cell_length_b 5.857
_cell_length_c 5.857
_cell_angle_alpha 90.00
_cell_angle_beta 90.00
_cell_angle_gamma 90.00
loop_
_atom_site_label
_atom_site_type_symbol
_atom_site_fract_x
_atom_site_fract_y
_atom_site_fract_z
Ca1 Ca 0.000 0.000 0.500
Mg1 Mg 0.000 0.000 0.000
Ga1 Ga 0.500 0.500 0.500


20.
# CaMn2Ga2 | the Alexandria database | GGA-PBEsol | relaxed
# DFT total energy = -56.02 eV for the cell shown
data_CaMn2Ga2
_chemical_formula_sum 'Ca2 Mn4 Ga4'
_symmetry_space_group_name_H-M 'I 4/m m m'
_symmetry_Int_Tables_number 139
_symmetry_space_group_name_Hall '-I 4 2'
_cell_length_a 4.306
_cell_length_b 4.306
_cell_length_c 8.912
_cell_angle_alpha 90.00
_cell_angle_beta 90.00
_cell_angle_gamma 90.00
loop_
_atom_site_label
_atom_site_type_symbol
_atom_site_fract_x
_atom_site_fract_y
_atom_site_fract_z
Ca1 Ca 0.000 0.000 0.000
Mn1 Mn 0.000 0.000 0.392
Ga1 Ga 0.000 0.500 0.250


21.
# Ca2MnGaO5 | the Alexandria database | GGA-PBEsol | relaxed
# Uncorrected formation energy = -2.38 eV/atom
data_Ca2MnGaO5
_chemical_formula_sum 'Ca8 Mn4 Ga4 O20'
_symmetry_space_group_name_H-M 'P n m a'
_symmetry_Int_Tables_number 62
_symmetry_space_group_name_Hall '-P 2ac 2n'
_cell_length_a 5.308
_cell_length_b 14.753
_cell_length_c 5.553
_cell_angle_alpha 90.00
_cell_angle_beta 90.00
_cell_angle_gamma 90.00
loop_
_atom_site_label
_atom_site_type_symbol
_atom_site_fract_x
_atom_site_fract_y
_atom_site_fract_z
Ca1 Ca 0.016 0.108 0.027
Mn1 Mn 0.000 0.000 0.500
Ga1 Ga 0.047 0.250 0.568
O1 O 0.033 0.642 0.572
O2 O 0.099 0.750 0.121
O3 O 0.243 0.514 0.242


22.
# Ca2MnGaO5 | the Alexandria database | GGA-PBEsol | relaxed
# Uncorrected formation energy = -2.38 eV/atom
data_Ca2MnGaO5
_chemical_formula_sum 'Ca8 Mn4 Ga4 O20'
_symmetry_space_group_name_H-M 'I m a 2'
_symmetry_Int_Tables_number 46
_symmetry_space_group_name_Hall 'I 2 -2a'
_cell_length_a 14.723
_cell_length_b 5.563
_cell_length_c 5.307
_cell_angle_alpha 90.00
_cell_angle_beta 90.00
_cell_angle_gamma 90.00
loop_
_atom_site_label
_atom_site_type_symbol
_atom_site_fract_x
_atom_site_fract_y
_atom_site_fract_z
Ca1 Ca 0.108 0.028 0.000
Mn1 Mn 0.000 0.000 0.512
Ga1 Ga 0.250 0.569 0.968
O1 O 0.013 0.745 0.760
O2 O 0.142 0.071 0.547
O3 O 0.250 0.621 0.613


23.
# SrCaMnGaO5 | the Alexandria database | GGA-PBEsol | relaxed
# Uncorrected formation energy = -2.36 eV/atom
data_SrCaMnGaO5
_chemical_formula_sum 'Sr4 Ca4 Mn4 Ga4 O20'
_symmetry_space_group_name_H-M 'C 1 2 1'
_symmetry_Int_Tables_number 5
_symmetry_space_group_name_Hall 'C 2y'
_cell_length_a 16.133
_cell_length_b 5.364
_cell_length_c 5.579
_cell_angle_alpha 90.00
_cell_angle_beta 109.73
_cell_angle_gamma 90.00
loop_
_atom_site_label
_atom_site_type_symbol
_atom_site_fract_x
_atom_site_fract_y
_atom_site_fract_z
Sr1 Sr 0.113 0.000 0.093
Ca1 Ca 0.105 0.507 0.630
Mn1 Mn 0.000 0.495 0.000
Mn2 Mn 0.000 0.994 0.500
Ga1 Ga 0.249 0.035 0.680
O1 O 0.009 0.251 0.266
O2 O 0.009 0.743 0.259
O3 O 0.140 0.952 0.684
O4 O 0.144 0.482 0.070
O5 O 0.240 0.383 0.613